# 1
VASP calculation (GGA-PBE) on a geometry-optimized FeSbIrPb2 structure.

Lattice parameters (Å, degrees): 5.362 5.362 5.096 90.00 90.00 90.00
Fractional coordinates of all 5 atoms:
Fe 0.000 0.000 0.000
Sb 0.500 0.500 0.000
Ir 0.500 0.500 0.500
Pb 0.000 0.500 0.500
Pb 0.500 0.000 0.500

DOS(E_F) (states/eV per atom): 1.9456
E_form (uncorrected) (eV/atom): 0.892



# 2
VASP calculation (GGA-PBE) on a geometry-optimized Pu2Sb3Pd4 structure.

Lattice parameters (Å, degrees): 8.548 8.548 7.579 90.00 90.00 136.10
Fractional coordinates of all 18 atoms:
Pu 0.096 0.904 0.904
Pu 0.404 0.596 0.404
Pu 0.596 0.404 0.596
Pu 0.904 0.096 0.096
Sb 0.000 0.000 0.500
Sb 0.006 0.494 0.750
Sb 0.494 0.006 0.250
Sb 0.500 0.500 0.000
Sb 0.506 0.994 0.750
Sb 0.994 0.506 0.250
Pd 0.172 0.828 0.506
Pd 0.180 0.320 0.750
Pd 0.320 0.180 0.250
Pd 0.328 0.672 0.006
Pd 0.672 0.328 0.994
Pd 0.680 0.820 0.750
Pd 0.820 0.680 0.250
Pd 0.828 0.172 0.494

DOS(E_F) (states/eV per atom): 2.6387
E_form (uncorrected) (eV/atom): -0.554



# 3
VASP calculation (GGA-PBE) on a geometry-optimized DyTm3Cd4 structure.

Lattice parameters (Å, degrees): 5.219 5.219 7.482 90.00 90.00 90.00
Fractional coordinates of all 8 atoms:
Dy 0.000 0.000 0.000
Tm 0.000 0.000 0.500
Tm 0.500 0.500 0.000
Tm 0.500 0.500 0.500
Cd 0.000 0.500 0.253
Cd 0.000 0.500 0.747
Cd 0.500 0.000 0.253
Cd 0.500 0.000 0.747

DOS(E_F) (states/eV per atom): 0.8684
Formation enthalpy at 0 K (eV/f.u.): -2.5